# 1
Density functional theory data (PBE) for a relaxed Ac3TiB2N6 crystal.

## Properties
Fermi-level density of states ... 0.191 states/eV/atom
Mass density ... 7.92 Mg/m³
Calculated total energy ... -97.5 eV/cell
Uncorrected formation energy ... -1165.6 meV per atom

Cell lengths 5.5387, 5.5387, 6.5848 Å; angles 90.00, 90.00, 120.00 degrees
Space group P-3m1 (No. 164)
Asymmetric unit:
Ac 0.0000 0.0000 0.0000 x1
Ac 0.3333 0.6667 0.6768 x2
Ti 0.0000 0.0000 0.5000 x1
B 0.3333 0.6667 0.2761 x2
N 0.1796 0.3593 0.3045 x6

=====

# 2
Density functional theory data (PBE) for a relaxed Ac2TiB2N6 crystal.

## Properties
Fermi-level density of states ... 0.658 states/eV/atom
Mass density ... 7.55 Mg/m³
Calculated total energy ... -271.7 eV/cell
Uncorrected formation energy ... -1013.8 meV per atom

Cell lengths 5.4158, 5.4158, 15.7711 Å; angles 90.00, 90.00, 120.00 degrees
Space group R-3m (No. 166, hexagonal axes)
Asymmetric unit:
Ac 0.0000 0.0000 0.2302 x6
Ti 0.0000 0.0000 0.0000 x3
B 0.0000 0.0000 0.4151 x6
N 0.0221 0.5110 0.2562 x18

=====

# 3
Density functional theory data (PBE) for a relaxed Ac3TlB2N6 crystal.

## Properties
Fermi-level density of states ... 0.033 states/eV/atom
Mass density ... 8.64 Mg/m³
Calculated total energy ... -86.2 eV/cell
Uncorrected formation energy ... -682.0 meV per atom

Cell lengths 5.7184, 5.7184, 6.7237 Å; angles 90.00, 90.00, 120.00 degrees
Space group P-3m1 (No. 164)
Asymmetric unit:
Ac 0.0000 0.0000 0.0000 x1
Ac 0.3333 0.6667 0.6775 x2
Tl 0.0000 0.0000 0.5000 x1
B 0.3333 0.6667 0.2658 x2
N 0.1850 0.3699 0.2720 x6

=====

# 4
Density functional theory data (PBE) for a relaxed Ac3TmB2N6 crystal.

## Properties
Fermi-level density of states ... 0.019 states/eV/atom
Mass density ... 8.44 Mg/m³
Calculated total energy ... -94.9 eV/cell
Uncorrected formation energy ... -1232.5 meV per atom

Cell lengths 5.7211, 5.7211, 6.6325 Å; angles 90.00, 90.00, 120.00 degrees
Space group P-3m1 (No. 164)
Asymmetric unit:
Ac 0.0000 0.0000 0.0000 x1
Ac 0.3333 0.6667 0.6742 x2
Tm 0.0000 0.0000 0.5000 x1
B 0.3333 0.6667 0.2629 x2
N 0.1848 0.3697 0.2841 x6

=====

What is the calculated total energy in the second record? -271.7 eV/cell

=====

Which value of Fermi-level density of states does entry 2 give? 0.658 states/eV/atom

=====

What is the Fermi-level density of states in the third record? 0.033 states/eV/atom

=====

Copy entry 2 word for word.
Density functional theory data (PBE) for a relaxed Ac2TiB2N6 crystal.

## Properties
Fermi-level density of states ... 0.658 states/eV/atom
Mass density ... 7.55 Mg/m³
Calculated total energy ... -271.7 eV/cell
Uncorrected formation energy ... -1013.8 meV per atom

Cell lengths 5.4158, 5.4158, 15.7711 Å; angles 90.00, 90.00, 120.00 degrees
Space group R-3m (No. 166, hexagonal axes)
Asymmetric unit:
Ac 0.0000 0.0000 0.2302 x6
Ti 0.0000 0.0000 0.0000 x3
B 0.0000 0.0000 0.4151 x6
N 0.0221 0.5110 0.2562 x18